PmLuAu GGA-PBE relaxed; size of the total moment = 0.67 μB per cell; raw total energy = -4.719 eV/atom; density of states at the Fermi level = 3.90 states/eV/f.u.; formation enthalpy at 0 K = -1.6 eV/f.u.
1.0
-1.792 1.792 6.251
1.792 -1.792 6.251
1.792 1.792 -6.251
Pm Lu Au
1 1 1
direct
0.000 0.000 0.000 Pm
0.711 0.711 0.000 Lu
0.334 0.334 0.000 Au